# GGA+U AsWO5, relaxed
# Energy   -95.51 eV per cell
data_AsWO5
_chemical_formula_sum 'As2 W2 O10'
_symmetry_space_group_name_H-M 'P 1'
_symmetry_Int_Tables_number 1
_cell_length_a 5.492
_cell_length_b 5.492
_cell_length_c 7.556
_cell_angle_alpha 110.80
_cell_angle_beta 110.80
_cell_angle_gamma 90.19
loop_
_symmetry_equiv_pos_as_xyz
'x,y,z'
loop_
_atom_site_label
_atom_site_fract_x
_atom_site_fract_y
_atom_site_fract_z
_atom_site_occupancy
As1 0.122 0.878 0.750 1
As2 0.878 0.122 0.250 1
W1 0.500 0.500 0.000 1
W2 0.500 0.500 0.500 1
O1 0.181 0.215 0.841 1
O2 0.215 0.181 0.341 1
O3 0.226 0.735 0.552 1
O4 0.265 0.774 0.948 1
O5 0.448 0.552 0.250 1
O6 0.552 0.448 0.750 1
O7 0.735 0.226 0.052 1
O8 0.774 0.265 0.448 1
O9 0.785 0.819 0.659 1
O10 0.819 0.785 0.159 1